Material: Ca2TlBiN
Method: DFT, PBE-GGA
State: relaxed

Properties
* space-group type: P4/mmm
* raw formation energy: -0.53 eV/atom

```
Ca2TlBiN
1.0
4.993 0.000 0.000
0.000 4.993 0.000
0.000 0.000 4.837
Ca Tl N Bi
2 1 1 1
direct
0.000 0.500 0.000
0.500 0.000 0.000
0.000 0.000 0.500
0.000 0.000 0.000
0.500 0.500 0.500
```